Material: BaAlAgTe3
Method: DFT, PBE
State: optimized geometry

Output
Volume in A^3/atom: 36.24
Raw formation energy in eV per atom: -0.6598
Spin magnetization in μB per atom: 0.0000

Geometry as POSCAR:
```
BaAlAgTe3
1.0
6.334 -4.178 0.000
6.334 4.178 0.000
-3.921 0.000 8.217
Ba Al Ag Te
2 2 2 6
Direct
0.207 0.207 0.203 Ba
0.793 0.793 0.797 Ba
0.441 0.441 0.765 Al
0.559 0.559 0.235 Al
0.200 0.800 0.500 Ag
0.800 0.200 0.500 Ag
0.181 0.693 0.174 Te
0.224 0.224 0.591 Te
0.307 0.819 0.826 Te
0.693 0.181 0.174 Te
0.776 0.776 0.409 Te
0.819 0.307 0.826 Te
```